Record 1
# AlFe3H (meta-GGA SCAN, single point on PBEsol structure)
# E   -66.6 eV per cell
data_AlFe3H
_symmetry_space_group_name_H-M 'P 1'
_symmetry_Int_Tables_number 1
_cell_length_a 3.6284
_cell_length_b 3.6284
_cell_length_c 3.6284
_cell_angle_alpha 90.00
_cell_angle_beta 90.00
_cell_angle_gamma 90.00
loop_
_symmetry_equiv_pos_as_xyz
'x,y,z'
loop_
_atom_site_label
_atom_site_type_symbol
_atom_site_fract_x
_atom_site_fract_y
_atom_site_fract_z
_atom_site_occupancy
Al1 Al 0.5000 0.5000 0.5000 1
Fe1 Fe 0.5000 0.0000 0.0000 1
Fe2 Fe 0.0000 0.5000 0.0000 1
Fe3 Fe 0.0000 0.0000 0.5000 1
H1 H 0.0000 0.0000 0.0000 1

---

Record 2
# CrRe13B6 (meta-GGA SCAN, single point on PBEsol structure)
# E   -991.9 eV per cell
# Formation energy from the elements   -0.23 eV per atom
data_CrRe13B6
_symmetry_space_group_name_H-M 'P 1'
_symmetry_Int_Tables_number 1
_cell_length_a 4.8880
_cell_length_b 7.4396
_cell_length_c 7.4396
_cell_angle_alpha 120.00
_cell_angle_beta 90.00
_cell_angle_gamma 90.00
loop_
_symmetry_equiv_pos_as_xyz
'x,y,z'
loop_
_atom_site_label
_atom_site_type_symbol
_atom_site_fract_x
_atom_site_fract_y
_atom_site_fract_z
_atom_site_occupancy
B1 B 0.8388 0.9525 0.4763 1
B2 B 0.3473 0.7199 0.8599 1
B3 B 0.3473 0.1401 0.2801 1
B4 B 0.8388 0.5237 0.0475 1
B5 B 0.8388 0.5237 0.4763 1
B6 B 0.3473 0.1401 0.8599 1
Re1 Re 0.7503 0.2096 0.7904 1
Re2 Re 0.2504 0.4560 0.5440 1
Re3 Re 0.5464 0.7901 0.5802 1
Re4 Re 0.7503 0.2096 0.4192 1
Re5 Re 0.2504 0.0880 0.5440 1
Re6 Re 0.0465 0.8801 0.1199 1
Re7 Re 0.7503 0.5808 0.7904 1
Re8 Re 0.2504 0.4560 0.9120 1
Re9 Re 0.0909 0.6667 0.3333 1
Re10 Re 0.0465 0.8801 0.7602 1
Re11 Re 0.0465 0.2398 0.1199 1
Re12 Re 0.5464 0.7901 0.2099 1
Re13 Re 0.5464 0.4198 0.2099 1
Cr1 Cr 0.5940 0.0000 0.0000 1

---

Record 3
# CsCrGa3 (meta-GGA SCAN, single point on PBEsol structure)
# E   -96.8 eV per cell
# Formation energy from the elements   1.70 eV per atom
data_CsCrGa3
_symmetry_space_group_name_H-M 'P 1'
_symmetry_Int_Tables_number 1
_cell_length_a 5.7049
_cell_length_b 5.7049
_cell_length_c 5.7049
_cell_angle_alpha 90.00
_cell_angle_beta 90.00
_cell_angle_gamma 90.00
loop_
_symmetry_equiv_pos_as_xyz
'x,y,z'
loop_
_atom_site_label
_atom_site_type_symbol
_atom_site_fract_x
_atom_site_fract_y
_atom_site_fract_z
_atom_site_occupancy
Cs1 Cs 0.0000 0.0000 0.0000 1
Ga1 Ga 0.0000 0.0000 0.5000 1
Ga2 Ga 0.0000 0.5000 0.0000 1
Ga3 Ga 0.5000 0.0000 0.0000 1
Cr1 Cr 0.5000 0.5000 0.5000 1

---

Record 4
# Fe3RuO (meta-GGA SCAN, single point on PBEsol structure)
# E   -87.2 eV per cell
# Formation energy (no corrections)   159.3 kJ per mole of atoms
data_Fe3RuO
_symmetry_space_group_name_H-M 'P 1'
_symmetry_Int_Tables_number 1
_cell_length_a 4.4342
_cell_length_b 4.4342
_cell_length_c 4.4342
_cell_angle_alpha 90.00
_cell_angle_beta 90.00
_cell_angle_gamma 90.00
loop_
_symmetry_equiv_pos_as_xyz
'x,y,z'
loop_
_atom_site_label
_atom_site_type_symbol
_atom_site_fract_x
_atom_site_fract_y
_atom_site_fract_z
_atom_site_occupancy
Ru1 Ru 0.0000 0.0000 0.0000 1
Fe1 Fe 0.5000 0.0000 0.0000 1
Fe2 Fe 0.0000 0.5000 0.0000 1
Fe3 Fe 0.0000 0.0000 0.5000 1
O1 O 0.5000 0.5000 0.5000 1

---

Record 5
# ZrZn16 (meta-GGA SCAN, single point on PBEsol structure)
# E   -497.4 eV per cell
# Formation energy from the elements   -0.10 eV per atom
data_ZrZn16
_symmetry_space_group_name_H-M 'P 1'
_symmetry_Int_Tables_number 1
_cell_length_a 6.8118
_cell_length_b 6.8118
_cell_length_c 11.5630
_cell_angle_alpha 90.00
_cell_angle_beta 90.00
_cell_angle_gamma 111.66
loop_
_symmetry_equiv_pos_as_xyz
'x,y,z'
loop_
_atom_site_label
_atom_site_type_symbol
_atom_site_fract_x
_atom_site_fract_y
_atom_site_fract_z
_atom_site_occupancy
Zn1 Zn 0.6483 0.7580 0.8669 1
Zn2 Zn 0.3517 0.2420 0.1331 1
Zn3 Zn 0.2420 0.3517 0.6331 1
Zn4 Zn 0.6189 0.3811 0.9683 1
Zn5 Zn 0.3517 0.2420 0.3669 1
Zn6 Zn 0.6437 0.0188 0.0697 1
Zn7 Zn 0.0000 0.0000 0.0000 1
Zn8 Zn 0.7055 0.2945 0.2500 1
Zn9 Zn 0.0188 0.6437 0.9303 1
Zn10 Zn 0.9812 0.3563 0.0697 1
Zn11 Zn 0.9812 0.3563 0.4303 1
Zn12 Zn 0.6189 0.3811 0.5317 1
Zn13 Zn 0.7580 0.6483 0.1331 1
Zn14 Zn 0.4804 0.1955 0.7500 1
Zn15 Zn 0.7580 0.6483 0.3669 1
Zn16 Zn 0.5196 0.8045 0.2500 1
Zn17 Zn 0.1796 0.8204 0.3611 1
Zn18 Zn 0.1796 0.8204 0.1389 1
Zn19 Zn 0.3811 0.6189 0.0317 1
Zn20 Zn 0.6437 0.0188 0.4303 1
Zn21 Zn 0.3563 0.9812 0.5697 1
Zn22 Zn 0.1955 0.4804 0.2500 1
Zn23 Zn 0.8204 0.1796 0.8611 1
Zn24 Zn 0.8204 0.1796 0.6389 1
Zn25 Zn 0.0000 0.0000 0.5000 1
Zn26 Zn 0.2945 0.7055 0.7500 1
Zn27 Zn 0.3563 0.9812 0.9303 1
Zn28 Zn 0.2420 0.3517 0.8669 1
Zn29 Zn 0.8045 0.5196 0.7500 1
Zn30 Zn 0.0188 0.6437 0.5697 1
Zn31 Zn 0.6483 0.7580 0.6331 1
Zn32 Zn 0.3811 0.6189 0.4683 1
Zr1 Zr 0.0462 0.9538 0.7500 1
Zr2 Zr 0.9538 0.0462 0.2500 1

---

Record 6
# CrFeSb (meta-GGA SCAN, single point on PBEsol structure)
# E   -72.0 eV per cell
# Formation energy (no corrections)   57.5 kJ per mole of atoms
data_CrFeSb
_symmetry_space_group_name_H-M 'P 1'
_symmetry_Int_Tables_number 1
_cell_length_a 3.0982
_cell_length_b 3.0982
_cell_length_c 5.5377
_cell_angle_alpha 90.00
_cell_angle_beta 90.00
_cell_angle_gamma 120.00
loop_
_symmetry_equiv_pos_as_xyz
'x,y,z'
loop_
_atom_site_label
_atom_site_type_symbol
_atom_site_fract_x
_atom_site_fract_y
_atom_site_fract_z
_atom_site_occupancy
Fe1 Fe 0.6667 0.3333 0.7179 1
Sb1 Sb 0.3333 0.6667 0.3380 1
Cr1 Cr 0.0000 0.0000 0.9441 1